First-principles (GGA-PBE) data for CaGdZnRh after structural relaxation, as listed in Alexandria via LeMat-Bulk.

```
data_CaGdZnRh
_chemical_formula_sum 'Ca1 Gd1 Zn1 Rh1'
_symmetry_space_group_name_H-M 'P 1'
_symmetry_Int_Tables_number 1
_cell_length_a 4.985
_cell_length_b 4.985
_cell_length_c 4.985
_cell_angle_alpha 60.00
_cell_angle_beta 60.00
_cell_angle_gamma 60.00
loop_
_symmetry_equiv_pos_as_xyz
'x,y,z'
loop_
_atom_site_label
_atom_site_fract_x
_atom_site_fract_y
_atom_site_fract_z
Ca1 0.000 0.000 0.000
Gd1 0.500 0.500 0.500
Zn1 0.750 0.750 0.750
Rh1 0.250 0.250 0.250
```

First-principles (GGA-PBE) data for Tb2Al3 after structural relaxation, as listed in Alexandria via LeMat-Bulk.

```
data_Tb2Al3
_chemical_formula_sum 'Tb4 Al6'
_symmetry_space_group_name_H-M 'P 1'
_symmetry_Int_Tables_number 1
_cell_length_a 5.875
_cell_length_b 5.875
_cell_length_c 7.982
_cell_angle_alpha 90.00
_cell_angle_beta 90.00
_cell_angle_gamma 123.57
loop_
_symmetry_equiv_pos_as_xyz
'x,y,z'
loop_
_atom_site_label
_atom_site_fract_x
_atom_site_fract_y
_atom_site_fract_z
Tb1 0.156 0.844 0.903
Tb2 0.344 0.656 0.403
Tb3 0.656 0.344 0.597
Tb4 0.844 0.156 0.097
Al1 0.000 0.000 0.500
Al2 0.149 0.351 0.750
Al3 0.351 0.149 0.250
Al4 0.500 0.500 0.000
Al5 0.649 0.851 0.750
Al6 0.851 0.649 0.250
```

# ZrCBr2Cl, optimized geometry, DFT GGA-PBE
data_ZrCBr2Cl
_chemical_formula_sum 'Zr1 C1 Br2 Cl1'
_symmetry_space_group_name_H-M 'P 1'
_symmetry_Int_Tables_number 1
_cell_length_a 4.686
_cell_length_b 4.686
_cell_length_c 4.479
_cell_angle_alpha 90.00
_cell_angle_beta 90.00
_cell_angle_gamma 90.00
loop_
_symmetry_equiv_pos_as_xyz
'x,y,z'
loop_
_atom_site_label
_atom_site_fract_x
_atom_site_fract_y
_atom_site_fract_z
Zr1 0.000 0.000 0.000
C1 0.500 0.500 0.500
Br1 0.000 0.500 0.500
Br2 0.500 0.000 0.500
Cl1 0.500 0.500 0.000
# ΔE_f (raw)   0.934 eV per atom

First-principles (GGA-PBE) data for LiB4Mo after structural relaxation, as listed in Alexandria via LeMat-Bulk.

```
data_LiB4Mo
_chemical_formula_sum 'Li1 B4 Mo1'
_symmetry_space_group_name_H-M 'P 1'
_symmetry_Int_Tables_number 1
_cell_length_a 4.421
_cell_length_b 4.421
_cell_length_c 4.421
_cell_angle_alpha 140.31
_cell_angle_beta 107.29
_cell_angle_gamma 86.17
loop_
_symmetry_equiv_pos_as_xyz
'x,y,z'
loop_
_atom_site_label
_atom_site_fract_x
_atom_site_fract_y
_atom_site_fract_z
Li1 0.000 0.000 0.000
B1 0.086 0.750 0.335
B2 0.415 0.750 0.665
B3 0.585 0.250 0.335
B4 0.914 0.250 0.665
Mo1 0.500 0.500 0.000
```

The calculation returns the following electronic total energy values, one per record and in order: -6.600; -4.521; -3.658; -6.889 eV per atom.
The calculation returns the following density of states at the Fermi level values, one per record and in order: 0.864; 0.729; 0.851; 0.212 states/eV per atom.